# 1
Material: TbPrAs2Pd5
Method: DFT, PBE-GGA
State: relaxed

Total DFT energy (no corrections), hartree per atom: -0.2113
M_tot, μB/f.u.: 0.00
ΔH_f (0 K), kJ/mol of atoms: -75.9

Lattice parameters (Å, degrees): 4.2775 4.2775 9.3524 90.00 90.00 90.00
With the nearest neighbours (Å) after each atom.
Space group P4/mmm (No. 123)
One atom of each set of equivalent atoms:
Tb  0.0000  0.0000  0.0000 x1  8 As 3.28, 8 Pd 3.32
Pr  0.0000  0.0000  0.5000 x1  12 Pd 3.02
As  0.5000  0.5000  0.1358 x2  4 Pd 2.49, 1 As 2.54
Pd  0.0000  0.5000  0.2713 x4  2 As 2.49
Pd  0.5000  0.5000  0.5000 x1  4 Pr 3.02, 8 Pd 3.02

# 2
Material: Pr8Te4As3Pd
Method: DFT, PBE-GGA
State: relaxed

Total DFT energy (no corrections), hartree per atom: -0.2122
M_tot, μB/f.u.: 0.00

Lattice parameters (Å, degrees): 8.7835 8.7835 21.9782 90.00 90.00 120.00
With the nearest neighbours (Å) after each atom.
Space group R-3m (No. 166, hexagonal axes)
One atom of each set of equivalent atoms:
Pr  0.0000  0.0000  0.2404 x6  3 As 3.01, 3 Te 3.26
Pr  0.0009  0.5005  0.7585 x18  2 As 3.02, 1 Pd 3.03, 3 Te 3.24
Te  0.0000  0.0000  0.0000 x3  6 Pr 3.24
Te  0.0000  0.5000  0.0000 x9  6 Pr 3.24-3.26
As  0.0000  0.5000  0.5000 x9  6 Pr 3.01-3.02
Pd  0.0000  0.0000  0.5000 x3  6 Pr 3.03

# 3
Material: PrTl2As2Pd7
Method: DFT, PBE-GGA
State: relaxed

Total DFT energy (no corrections), hartree per atom: -0.1832
M_tot, μB/f.u.: 0.00
ΔH_f (0 K), kJ/mol of atoms: -37.6

Lattice parameters (Å, degrees): 5.8056 5.8029 14.6918 90.00 96.63 90.00
With the nearest neighbours (Å) after each atom.
Space group C2/m (No. 12)
One atom of each set of equivalent atoms:
Pr  0.0000  0.0000  0.0000 x2  12 Pd 2.90-3.03
Tl  0.1041  0.0000  0.4004 x4  5 Pd 2.87-3.01
As  0.0760  0.5000  0.2492 x4  5 Pd 2.45-2.49
Pd  0.0000  0.5000  0.0000 x2  4 Pr 2.90, 8 Pd 3.02-3.04
Pd  0.1017  0.5000  0.4168 x4  1 As 2.45
Pd  0.2032  0.2508  0.8471 x8  2 As 2.49